(1)
The following is a PBE calculation of a relaxed SiMo2Pt crystal, from Alexandria.

Energy relative to the elements, uncorrected = -0.03 eV/atom
Space group = R3m (160)
Fermi-level density of states = 3.786 states/eV/f.u.
Total DFT energy (no corrections) = -33.3 eV/cell

a = 8.999 Å, b = 8.999 Å, c = 8.999 Å
α = 17.96°, β = 17.96°, γ = 17.96°
Sites, in units of the cell vectors:
Si: 0.751 0.751 0.751
Pt: 0.494 0.494 0.494
Mo: 0.249 0.249 0.249
Mo: 0.006 0.006 0.006

---

(2)
The following is a PBE calculation of a relaxed Si2MoPt crystal, from Alexandria.

Energy relative to the elements, uncorrected = -0.06 eV/atom
Space group = R3m (160)
Fermi-level density of states = 3.723 states/eV/f.u.
Total DFT energy (no corrections) = -28.0 eV/cell

a = 8.125 Å, b = 8.125 Å, c = 8.125 Å
α = 20.85°, β = 20.85°, γ = 20.85°
Sites, in units of the cell vectors:
Mo: 0.505 0.505 0.505
Si: 0.253 0.253 0.253
Pt: 0.742 0.742 0.742
Si: 0.000 0.000 0.000

---

(3)
The following is a PBE calculation of a relaxed SiMo2Pt crystal, from Alexandria.

Energy relative to the elements, uncorrected = 0.21 eV/atom
Space group = I-42d (122)
Fermi-level density of states = 3.644 states/eV/f.u.
Total DFT energy (no corrections) = -64.6 eV/cell

a = 6.996 Å, b = 6.996 Å, c = 5.606 Å
α = 51.39°, β = 51.39°, γ = 90.00°
Sites, in units of the cell vectors:
Mo: 0.602 0.125 0.250
Pt: 0.750 0.250 0.500
Pt: 0.000 0.000 0.000
Mo: 0.875 0.852 0.750
Mo: 0.375 0.398 0.750
Mo: 0.148 0.625 0.250
Si: 0.250 0.750 0.500
Si: 0.500 0.500 0.000

---

(4)
The following is a PBE calculation of a relaxed Si4MoPt3 crystal, from Alexandria.

Energy relative to the elements, uncorrected = -0.65 eV/atom
Space group = Pnma (62)
Fermi-level density of states = 2.411 states/eV/f.u.
Total DFT energy (no corrections) = -223.3 eV/cell

a = 3.515 Å, b = 5.570 Å, c = 24.587 Å
α = 90.00°, β = 90.00°, γ = 90.00°
Sites, in units of the cell vectors:
Pt: 0.250 0.498 0.074
Si: 0.250 0.179 0.519
Pt: 0.750 0.002 0.574
Mo: 0.250 0.505 0.710
Si: 0.250 0.680 0.354
Si: 0.750 0.320 0.646
Si: 0.750 0.821 0.481
Pt: 0.750 0.996 0.330
Si: 0.750 0.339 0.390
Pt: 0.250 0.497 0.452
Pt: 0.250 0.004 0.670
Si: 0.250 0.679 0.981
Pt: 0.750 0.496 0.170
Pt: 0.750 0.003 0.952
Si: 0.250 0.669 0.226
Si: 0.250 0.661 0.610
Pt: 0.250 0.997 0.048
Pt: 0.250 0.998 0.426
Mo: 0.250 0.005 0.790
Si: 0.250 0.161 0.890
Si: 0.750 0.831 0.726
Pt: 0.750 0.502 0.926
Si: 0.750 0.321 0.019
Si: 0.250 0.169 0.274
Si: 0.250 0.180 0.146
Si: 0.750 0.820 0.854
Pt: 0.750 0.503 0.548
Pt: 0.250 0.504 0.830
Si: 0.750 0.331 0.774
Si: 0.750 0.839 0.110
Mo: 0.750 0.995 0.210
Mo: 0.750 0.495 0.290

---

(5)
The following is a PBE calculation of a relaxed Si2MoPt crystal, from Alexandria.

Energy relative to the elements, uncorrected = -0.39 eV/atom
Space group = P4mm (99)
Fermi-level density of states = 2.458 states/eV/f.u.
Total DFT energy (no corrections) = -29.3 eV/cell

a = 3.282 Å, b = 3.282 Å, c = 5.402 Å
α = 90.00°, β = 90.00°, γ = 90.00°
Sites, in units of the cell vectors:
Si: 0.000 0.000 0.983
Pt: 0.500 0.500 0.799
Mo: 0.000 0.000 0.452
Si: 0.500 0.500 0.265

---

(6)
The following is a PBE calculation of a relaxed Si2MoPt crystal, from Alexandria.

Energy relative to the elements, uncorrected = -0.13 eV/atom
Space group = Immm (71)
Fermi-level density of states = 1.727 states/eV/f.u.
Total DFT energy (no corrections) = -28.2 eV/cell

a = 4.688 Å, b = 4.688 Å, c = 4.688 Å
α = 136.97°, β = 121.92°, γ = 74.94°
Sites, in units of the cell vectors:
Mo: 0.750 0.250 0.500
Si: 0.491 0.491 0.000
Pt: 0.250 0.750 0.500
Si: 0.009 0.009 0.000

---

(7)
The following is a PBE calculation of a relaxed SiMo3Pt crystal, from Alexandria.

Energy relative to the lowest polymorph listed for this composition = 0.9558 eV per atom
Energy relative to the elements, uncorrected = 1.87 eV/atom
Space group = Pm-3m (221)
Fermi-level density of states = 7.622 states/eV/f.u.
Total DFT energy (no corrections) = -34.6 eV/cell

a = 4.782 Å, b = 4.782 Å, c = 4.782 Å
α = 90.00°, β = 90.00°, γ = 90.00°
Last column: magnetic moment on the atom in μB.
Sites, in units of the cell vectors:
Pt: 0.000 0.000 0.000  -0.03
Mo: 0.000 0.000 0.500  0.65
Mo: 0.500 0.000 0.000  0.67
Mo: 0.000 0.500 0.000  0.57
Si: 0.500 0.500 0.500  -0.02

---

(8)
The following is a PBE calculation of a relaxed SiMo2Pt crystal, from Alexandria.

Energy relative to the elements, uncorrected = -0.07 eV/atom
Space group = R-3m (166)
Fermi-level density of states = 3.552 states/eV/f.u.
Total DFT energy (no corrections) = -33.4 eV/cell

a = 9.041 Å, b = 9.041 Å, c = 9.041 Å
α = 17.80°, β = 17.80°, γ = 17.80°
Sites, in units of the cell vectors:
Mo: 0.497 0.497 0.497
Mo: 0.003 0.003 0.003
Pt: 0.250 0.250 0.250
Si: 0.750 0.750 0.750